(1)
VASP calculation (PBE-GGA) on crystalline Pr4DySb5 at its relaxed geometry.

Density of states at the Fermi level   1.21 states/eV/f.u.
ρ   6.77 g cm⁻³

abc: 16.2996 16.2996 16.2996
angles: 164.04 164.04 22.65
Fractional positions:
Pr: 0.0993 0.0993 0.0000
Pr: 0.3009 0.3009 0.0000
Pr: 0.6991 0.6991 0.0000
Pr: 0.9007 0.9007 0.0000
Dy: 0.5000 0.5000 0.0000
Sb: 0.0000 0.0000 0.0000
Sb: 0.2000 0.2000 0.0000
Sb: 0.4022 0.4022 0.0000
Sb: 0.5978 0.5978 0.0000
Sb: 0.8000 0.8000 0.0000

---

(2)
VASP calculation (PBE-GGA) on crystalline Pr3DySb2 at its relaxed geometry.

Density of states at the Fermi level   5.46 states/eV/f.u.
ρ   7.33 g cm⁻³

abc: 4.6019 4.6019 8.8629
angles: 90.00 90.00 90.00
Fractional positions:
Pr: 0.0000 0.0000 0.0000
Pr: 0.0000 0.5000 0.6453
Pr: 0.5000 0.0000 0.3547
Dy: 0.5000 0.5000 0.0000
Sb: 0.0000 0.5000 0.2751
Sb: 0.5000 0.0000 0.7249

---

Here are the calculated formation energy from raw total energies numbers, same order: -11.7; -5.0 (eV per formula unit).
Here are the calculated size of the total moment numbers, same order: 0.0; 0.0 (μB/cell).